Record 1
## Fe2Rh (PBEsol)

Data for crystalline Fe2Rh at its relaxed geometry.

```
Fe2Rh
1.0
-4.421 -1.304 -0.358
-1.764 -1.082 -4.134
-1.041 -4.394 -0.991
Rh Fe
2 4
Direct
0.750 0.750 0.750
0.500 0.500 0.500
0.125 0.125 0.625
0.125 0.625 0.125
0.625 0.125 0.125
0.125 0.125 0.125
```

Properties
* DOS(E_F): 4.727 states/eV/f.u.
* formation energy from the elements: 60.3 meV per atom
* DFT total energy: -8.63 eV per atom


Record 2
## YMg7 (PBEsol)

Data for crystalline YMg7 at its relaxed geometry.

```
YMg7
1.0
6.498 0.000 0.000
3.249 5.628 0.000
3.249 1.876 5.306
Mg Y
7 1
Direct
0.000 0.000 0.500
0.000 0.500 0.500
0.500 0.500 0.000
0.500 0.000 0.000
0.500 0.000 0.500
0.000 0.500 0.000
0.500 0.500 0.500
0.000 0.000 0.000
```

Properties
* DOS(E_F): 8.230 states/eV/f.u.
* formation energy from the elements: 18.5 meV per atom
* DFT total energy: -2.34 eV per atom


Record 3
## In2NiAs (PBEsol)

Data for crystalline In2NiAs at its relaxed geometry.

```
In2NiAs
1.0
3.934 0.000 0.000
0.000 4.003 0.001
0.000 -1.993 4.843
Ni As In
1 1 2
Direct
0.000 0.310 0.480
0.500 0.434 0.752
0.000 0.028 0.936
0.500 0.728 0.332
```

Properties
* DOS(E_F): 1.842 states/eV/f.u.
* formation energy from the elements: -64.9 meV per atom
* DFT total energy: -4.37 eV per atom


Record 4
## TaTe2Pt (PBEsol)

Data for crystalline TaTe2Pt at its relaxed geometry.

```
TaTe2Pt
1.0
4.860 0.000 0.000
2.430 4.209 0.000
2.430 1.403 3.968
Pt Te Ta
1 2 1
Direct
0.500 0.500 0.500
0.750 0.750 0.750
0.000 0.000 0.000
0.250 0.250 0.250
```

Properties
* DOS(E_F): 2.589 states/eV/f.u.
* energy relative to the elements, uncorrected: 423 meV/atom
* DFT total energy: -6.22 eV per atom


Record 5
## ZnIrCl2 (PBEsol)

Data for crystalline ZnIrCl2 at its relaxed geometry.

```
ZnIrCl2
1.0
-1.919 -0.981 2.025
-0.626 -3.373 -2.226
5.494 -1.551 4.455
Zn Cl Ir
1 2 1
Direct
0.500 0.263 0.654
0.500 0.599 0.322
0.000 0.902 0.925
0.000 0.736 0.599
```

Properties
* DOS(E_F): 3.235 states/eV/f.u.
* excess energy over the best structure of this formula in the dataset: 0 meV/atom
* energy relative to the elements, uncorrected: -85 meV/atom
* DFT total energy: -3.94 eV per atom


Record 6
## BaMgCo2 (PBEsol)

Data for crystalline BaMgCo2 at its relaxed geometry.

```
BaMgCo2
1.0
3.464 0.000 0.000
0.000 3.464 0.000
0.000 0.000 6.814
Ba Co Mg
1 2 1
Direct
0.500 0.500 0.500
0.000 0.000 0.159
0.000 0.000 0.841
0.500 0.500 0.000
```

Properties
* DOS(E_F): 2.832 states/eV/f.u.
* formation energy from the elements: 508.9 meV per atom
* DFT total energy: -4.33 eV per atom


Record 7
## Tc2MoPb (PBEsol)

Data for crystalline Tc2MoPb at its relaxed geometry.

```
Tc2MoPb
1.0
3.828 0.000 0.000
0.000 3.828 0.000
-1.914 -1.914 4.392
Pb Tc Mo
1 2 1
Direct
0.250 0.750 0.500
0.000 0.000 0.000
0.750 0.250 0.500
0.500 0.500 0.000
```

Properties
* DOS(E_F): 2.920 states/eV/f.u.
* formation energy from the elements: 542.0 meV per atom
* DFT total energy: -9.03 eV per atom


Record 8
## BeZn (PBEsol)

Data for crystalline BeZn at its relaxed geometry.

```
BeZn
1.0
2.563 0.000 0.000
0.000 3.791 0.000
-1.282 0.000 4.549
Be Zn
2 2
Direct
0.436 0.250 0.872
0.564 0.750 0.128
0.837 0.750 0.674
0.163 0.250 0.326
```

Properties
* DOS(E_F): 0.424 states/eV/f.u.
* formation energy from the elements: 195.2 meV per atom
* DFT total energy: -2.60 eV per atom


Record 9
## Tl2Te (PBEsol)

Data for crystalline Tl2Te at its relaxed geometry.

```
Tl2Te
1.0
-1.184 -3.791 2.012
5.444 -0.905 1.496
-0.520 5.568 5.260
Tl Te
4 2
Direct
0.239 0.750 0.477
0.435 0.250 0.871
0.565 0.750 0.129
0.761 0.250 0.523
0.895 0.750 0.789
0.105 0.250 0.211
```

Properties
* DOS(E_F): 1.267 states/eV/f.u.
* excess energy over the best structure of this formula in the dataset: 80 meV/atom
* energy relative to the elements, uncorrected: -166 meV/atom
* DFT total energy: -3.10 eV per atom


Record 10
## LiAl3 (PBEsol)

Data for crystalline LiAl3 at its relaxed geometry.

```
LiAl3
1.0
2.877 0.000 0.000
-1.438 2.491 0.000
0.000 0.000 9.095
Al Li
3 1
Direct
0.000 0.000 0.251
0.000 0.000 0.749
0.333 0.667 0.000
0.333 0.667 0.500
```

Properties
* DOS(E_F): 1.753 states/eV/f.u.
* formation energy from the elements: -8.1 meV per atom
* DFT total energy: -3.57 eV per atom


Record 11
## YScMo2 (PBEsol)

Data for crystalline YScMo2 at its relaxed geometry.

```
YScMo2
1.0
3.975 0.000 0.000
0.000 3.975 0.000
0.000 0.000 4.786
Sc Y Mo
1 1 2
Direct
0.500 0.500 0.500
0.000 0.000 0.500
0.000 0.500 0.000
0.500 0.000 0.000
```

Properties
* DOS(E_F): 4.982 states/eV/f.u.
* formation energy from the elements: 482.5 meV per atom
* excess energy over the best structure of this formula in the dataset: 398 meV/atom
* DFT total energy: -8.76 eV per atom


Record 12
## KLiN2 (PBEsol)

Data for crystalline KLiN2 at its relaxed geometry.

```
KLiN2
1.0
-4.100 1.369 -0.764
-2.743 0.695 3.356
-1.180 4.093 1.059
N Li K
2 1 1
Direct
0.750 0.750 0.750
0.250 0.250 0.250
0.000 0.000 0.000
0.500 0.500 0.500
```

Properties
* DOS(E_F): 2.398 states/eV/f.u.
* energy relative to the elements, uncorrected: 1396 meV/atom
* DFT total energy: -3.64 eV per atom


Record 13
## MnOsW2 (PBEsol)

Data for crystalline MnOsW2 at its relaxed geometry.

```
MnOsW2
1.0
-0.318 0.040 3.084
-4.245 -0.678 -0.429
2.944 -3.902 -1.204
W Os Mn
2 1 1
Direct
0.245 0.745 0.490
0.994 0.994 0.989
0.751 0.251 0.503
0.509 0.509 0.018
```

Properties
* DOS(E_F): 4.180 states/eV/f.u.
* formation energy from the elements: 219.2 meV per atom
* excess energy over the best structure of this formula in the dataset: 55 meV/atom
* DFT total energy: -12.18 eV per atom


Record 14
## LaHgW2 (PBEsol)

Data for crystalline LaHgW2 at its relaxed geometry.

```
LaHgW2
1.0
3.076 0.000 0.000
-1.538 4.202 0.015
0.000 -0.987 6.850
La W Hg
1 2 1
Direct
0.750 0.501 0.226
0.987 0.974 0.933
0.253 0.506 0.791
0.510 0.019 0.550
```

Properties
* DOS(E_F): 3.316 states/eV/f.u.
* formation energy from the elements: 613.7 meV per atom
* DFT total energy: -7.77 eV per atom


Record 15
## TlTc2P (PBEsol)

Data for crystalline TlTc2P at its relaxed geometry.

```
TlTc2P
1.0
-0.559 1.579 -2.491
-3.535 -0.568 0.434
-0.150 4.163 4.225
Tc P Tl
2 1 1
Direct
0.154 0.000 0.298
0.846 0.000 0.702
0.500 0.500 0.500
0.500 0.500 0.000
```

Properties
* DOS(E_F): 2.464 states/eV/f.u.
* formation energy from the elements: 166.2 meV per atom
* excess energy over the best structure of this formula in the dataset: 0 meV/atom
* DFT total energy: -7.57 eV per atom


no.,size of the total moment (μB per atom),ρ (g cm⁻³)
1,1.419,10.20
2,0.008,2.22
3,0.000,7.91
4,0.000,12.92
5,0.001,6.48
6,0.724,5.68
7,0.000,12.88
8,0.000,5.59
9,0.000,9.52
10,0.000,2.24
11,0.000,7.15
12,1.000,2.06
13,0.457,17.77
14,0.000,13.26
15,0.000,11.42